The following is a GGA-PBE calculation of crystalline TmZn4Pt4 at its relaxed geometry, from Alexandria via LeMat-Bulk.

Values from the calculation:
- Crystal system: tetragonal
- Space group: No. 137

Unit cell a=5.7815 b=5.7815 c=8.9934 alpha=90.00 beta=90.00 gamma=90.00
Last column: nearest neighbours and their distance in Å.
Fractional coordinates of all 18 atoms:
1 Tm 0.2500 0.7500 0.2500  4 Pt 2.90, 8 Zn 3.23
2 Tm 0.7500 0.2500 0.7500  4 Pt 2.90, 8 Zn 3.23
3 Zn 0.0294 0.2500 0.1777  3 Zn 2.55-2.63, 5 Pt 2.59-2.67
4 Zn 0.2500 0.0294 0.6777  3 Zn 2.55-2.63, 5 Pt 2.59-2.67
5 Zn 0.2500 0.4706 0.6777  3 Zn 2.55-2.63, 5 Pt 2.59-2.67
6 Zn 0.4706 0.2500 0.1777  3 Zn 2.55-2.63, 5 Pt 2.59-2.67
7 Zn 0.5294 0.7500 0.8223  3 Zn 2.55-2.63, 5 Pt 2.59-2.67
8 Zn 0.7500 0.5294 0.3223  3 Zn 2.55-2.63, 5 Pt 2.59-2.67
9 Zn 0.7500 0.9706 0.3223  3 Zn 2.55-2.63, 5 Pt 2.59-2.67
10 Zn 0.9706 0.7500 0.8223  3 Zn 2.55-2.63, 5 Pt 2.59-2.67
11 Pt 0.0088 0.2500 0.4744  5 Zn 2.59-2.67, 1 Pt 2.79, 1 Tm 2.90
12 Pt 0.2500 0.0088 0.9744  5 Zn 2.59-2.67, 1 Pt 2.79, 1 Tm 2.90
13 Pt 0.2500 0.4912 0.9744  5 Zn 2.59-2.67, 1 Pt 2.79, 1 Tm 2.90
14 Pt 0.4912 0.2500 0.4744  5 Zn 2.59-2.67, 1 Pt 2.79, 1 Tm 2.90
15 Pt 0.5088 0.7500 0.5256  5 Zn 2.59-2.67, 1 Pt 2.79, 1 Tm 2.90
16 Pt 0.7500 0.5088 0.0256  5 Zn 2.59-2.67, 1 Pt 2.79, 1 Tm 2.90
17 Pt 0.7500 0.9912 0.0256  5 Zn 2.59-2.67, 1 Pt 2.79, 1 Tm 2.90
18 Pt 0.9912 0.7500 0.5256  5 Zn 2.59-2.67, 1 Pt 2.79, 1 Tm 2.90

---

The following is a GGA-PBE calculation of crystalline Tm5Zn4Pt at its relaxed geometry, from Alexandria via LeMat-Bulk.

Values from the calculation:
- Crystal system: tetragonal
- Space group: No. 123

Unit cell a=3.5231 b=3.5231 c=17.3139 alpha=90.00 beta=90.00 gamma=90.00
Last column: nearest neighbours and their distance in Å.
Fractional coordinates of all 10 atoms:
1 Tm 0.0000 0.0000 0.0000  8 Zn 3.05
2 Tm 0.0000 0.0000 0.2031  8 Zn 3.01-3.04
3 Tm 0.0000 0.0000 0.4054  4 Pt 2.98, 4 Zn 3.08, 1 Tm 3.28
4 Tm 0.0000 0.0000 0.5946  4 Pt 2.98, 4 Zn 3.08, 1 Tm 3.28
5 Tm 0.0000 0.0000 0.7969  8 Zn 3.01-3.04
6 Zn 0.5000 0.5000 0.1021  8 Tm 3.04-3.05
7 Zn 0.5000 0.5000 0.3011  8 Tm 3.01-3.08
8 Zn 0.5000 0.5000 0.6989  8 Tm 3.01-3.08
9 Zn 0.5000 0.5000 0.8979  8 Tm 3.04-3.05
10 Pt 0.5000 0.5000 0.5000  8 Tm 2.98

---

The following is a GGA-PBE calculation of crystalline Tm3Zn4Pt4 at its relaxed geometry, from Alexandria via LeMat-Bulk.

Values from the calculation:
- Crystal system: orthorhombic
- Space group: No. 71

Unit cell a=8.1878 b=8.1878 c=8.1878 alpha=152.12 beta=125.57 gamma=62.25
Last column: nearest neighbours and their distance in Å.
Fractional coordinates of all 11 atoms:
1 Tm 0.0000 0.0000 0.0000  6 Pt 3.02-3.10
2 Tm 0.3772 0.8772 0.5000  6 Pt 2.95-3.00, 6 Zn 3.07-3.22
3 Tm 0.6228 0.1228 0.5000  6 Pt 2.95-3.00, 6 Zn 3.07-3.22
4 Zn 0.0263 0.3263 0.7000  4 Pt 2.56-2.69
5 Zn 0.3736 0.6737 0.7000  4 Pt 2.56-2.69
6 Zn 0.6264 0.3263 0.3000  4 Pt 2.56-2.69
7 Zn 0.9737 0.6737 0.3000  4 Pt 2.56-2.69
8 Pt 0.2210 0.2210 0.0000  6 Zn 2.56-2.69
9 Pt 0.3051 0.5000 0.8051  2 Zn 2.56
10 Pt 0.6949 0.5000 0.1949  2 Zn 2.56
11 Pt 0.7790 0.7790 0.0000  6 Zn 2.56-2.69

---

The following is a GGA-PBE calculation of crystalline TmZnPt6 at its relaxed geometry, from Alexandria via LeMat-Bulk.

Values from the calculation:
- Crystal system: trigonal
- Space group: No. 166

Unit cell a=5.3542 b=5.3542 c=5.3542 alpha=87.61 beta=87.61 gamma=87.61
Last column: nearest neighbours and their distance in Å.
Fractional coordinates of all 8 atoms:
1 Tm 0.0000 0.0000 0.0000  6 Pt 2.75
2 Zn 0.5000 0.5000 0.5000  6 Pt 2.54
3 Pt 0.1704 0.1704 0.5350  1 Zn 2.54, 5 Pt 2.68-2.83, 1 Tm 2.75
4 Pt 0.1704 0.5350 0.1704  1 Zn 2.54, 5 Pt 2.68-2.83, 1 Tm 2.75
5 Pt 0.4650 0.8296 0.8296  1 Zn 2.54, 5 Pt 2.68-2.83, 1 Tm 2.75
6 Pt 0.5350 0.1704 0.1704  1 Zn 2.54, 5 Pt 2.68-2.83, 1 Tm 2.75
7 Pt 0.8296 0.4650 0.8296  1 Zn 2.54, 5 Pt 2.68-2.83, 1 Tm 2.75
8 Pt 0.8296 0.8296 0.4650  1 Zn 2.54, 5 Pt 2.68-2.83, 1 Tm 2.75

---

The following is a GGA-PBE calculation of crystalline Tm3Zn7Pt4 at its relaxed geometry, from Alexandria via LeMat-Bulk.

Values from the calculation:
- Crystal system: monoclinic
- Space group: No. 12

Unit cell a=7.8628 b=7.8628 c=9.2792 alpha=122.62 beta=122.62 gamma=31.78
Last column: nearest neighbours and their distance in Å.
Fractional coordinates of all 14 atoms:
1 Tm 0.0000 0.0000 0.0000  6 Pt 2.95-3.19, 2 Zn 3.25
2 Tm 0.2946 0.2946 0.2846  4 Pt 2.94-3.03, 8 Zn 3.02-3.20
3 Tm 0.7054 0.7054 0.7154  4 Pt 2.94-3.03, 8 Zn 3.02-3.20
4 Zn 0.0000 0.0000 0.5000  2 Pt 2.54, 6 Zn 2.67-2.77
5 Zn 0.1458 0.1458 0.4231  3 Pt 2.61-2.67, 3 Zn 2.67-2.79
6 Zn 0.3280 0.3280 0.9849  4 Pt 2.55-2.67, 1 Zn 2.73
7 Zn 0.4945 0.4945 0.6827  3 Pt 2.56-2.66, 5 Zn 2.73-2.79
8 Zn 0.5055 0.5055 0.3173  3 Pt 2.56-2.66, 5 Zn 2.73-2.79
9 Zn 0.6720 0.6720 0.0151  4 Pt 2.55-2.67, 1 Zn 2.73
10 Zn 0.8542 0.8542 0.5769  3 Pt 2.61-2.67, 3 Zn 2.67-2.79
11 Pt 0.1167 0.1167 0.8307  6 Zn 2.54-2.67
12 Pt 0.3394 0.3394 0.7214  5 Zn 2.55-2.67
13 Pt 0.6606 0.6606 0.2786  5 Zn 2.55-2.67
14 Pt 0.8833 0.8833 0.1693  6 Zn 2.54-2.67

---

The following is a GGA-PBE calculation of crystalline Tm5ZnPt4 at its relaxed geometry, from Alexandria via LeMat-Bulk.

Values from the calculation:
- Crystal system: tetragonal
- Space group: No. 123

Unit cell a=3.4815 b=3.4815 c=17.0784 alpha=90.00 beta=90.00 gamma=90.00
Last column: nearest neighbours and their distance in Å.
Fractional coordinates of all 10 atoms:
1 Tm 0.0000 0.0000 0.0000  8 Pt 3.00
2 Tm 0.0000 0.0000 0.1988  8 Pt 2.98-3.02
3 Tm 0.0000 0.0000 0.3967  4 Pt 2.96, 4 Zn 3.03
4 Tm 0.0000 0.0000 0.6033  4 Pt 2.96, 4 Zn 3.03
5 Tm 0.0000 0.0000 0.8012  8 Pt 2.98-3.02
6 Zn 0.5000 0.5000 0.5000  8 Tm 3.03
7 Pt 0.5000 0.5000 0.1002  8 Tm 2.98-3.00
8 Pt 0.5000 0.5000 0.3008  8 Tm 2.96-3.02
9 Pt 0.5000 0.5000 0.6992  8 Tm 2.96-3.02
10 Pt 0.5000 0.5000 0.8998  8 Tm 2.98-3.00

---

The following is a GGA-PBE calculation of crystalline Tm2Zn3Pt4 at its relaxed geometry, from Alexandria via LeMat-Bulk.

Values from the calculation:
- Crystal system: orthorhombic
- Space group: No. 64

Unit cell a=8.0216 b=8.0216 c=7.5708 alpha=90.00 beta=90.00 gamma=139.34
Last column: nearest neighbours and their distance in Å.
Fractional coordinates of all 18 atoms:
1 Tm 0.1096 0.8904 0.9122  8 Pt 3.00-3.34, 4 Zn 3.06-3.31
2 Tm 0.3904 0.6096 0.4122  8 Pt 3.00-3.34, 4 Zn 3.06-3.31
3 Tm 0.6096 0.3904 0.5878  8 Pt 3.00-3.34, 4 Zn 3.06-3.31
4 Tm 0.8904 0.1096 0.0878  8 Pt 3.00-3.34, 4 Zn 3.06-3.31
5 Zn 0.0000 0.0000 0.5000  6 Pt 2.50-2.66
6 Zn 0.0209 0.4791 0.7500  5 Pt 2.58-2.65, 2 Zn 2.79
7 Zn 0.4791 0.0209 0.2500  5 Pt 2.58-2.65, 2 Zn 2.79
8 Zn 0.5000 0.5000 0.0000  6 Pt 2.50-2.66
9 Zn 0.5209 0.9791 0.7500  5 Pt 2.58-2.65, 2 Zn 2.79
10 Zn 0.9791 0.5209 0.2500  5 Pt 2.58-2.65, 2 Zn 2.79
11 Pt 0.1762 0.8238 0.5282  5 Zn 2.61-2.66
12 Pt 0.1926 0.3074 0.7500  3 Zn 2.50-2.58, 2 Pt 2.79
13 Pt 0.3074 0.1926 0.2500  3 Zn 2.50-2.58, 2 Pt 2.79
14 Pt 0.3238 0.6762 0.0282  5 Zn 2.61-2.66
15 Pt 0.6762 0.3238 0.9718  5 Zn 2.61-2.66
16 Pt 0.6926 0.8074 0.7500  3 Zn 2.50-2.58, 2 Pt 2.79
17 Pt 0.8074 0.6926 0.2500  3 Zn 2.50-2.58, 2 Pt 2.79
18 Pt 0.8238 0.1762 0.4718  5 Zn 2.61-2.66

---

The following is a GGA-PBE calculation of crystalline TmZnPt at its relaxed geometry, from Alexandria via LeMat-Bulk.

Values from the calculation:
- Crystal system: tetragonal
- Space group: No. 107

Unit cell a=5.0928 b=5.0928 c=5.0928 alpha=138.89 beta=138.89 gamma=59.54
Last column: nearest neighbours and their distance in Å.
Fractional coordinates of all 3 atoms:
1 Tm 0.0000 0.0000 0.0000  5 Zn 2.82-2.99, 5 Pt 2.90-2.99
2 Zn 0.3194 0.3194 0.0000  5 Tm 2.82-2.99, 5 Pt 2.89-3.03
3 Pt 0.6617 0.6617 0.0000  5 Zn 2.89-3.03, 5 Tm 2.90-2.99

---

Calculated raw total energy in order - -4.319 -3.903 -4.786 -5.410 -4.058 -5.884 -5.016 -4.760 eV/atom